An optimized crystal structure of LiY2HPb. Source: Alexandria via LeMat-Bulk, functional GGA-PBE.

Geometry as POSCAR:
```
LiY2HPb
1.0
4.8170 0.0000 0.0000
0.0000 4.8170 0.0000
0.0000 0.0000 4.4428
Pb Y H Li
1 2 1 1
direct
0.5000 0.5000 0.5000
0.0000 0.5000 0.0000
0.5000 0.0000 0.0000
0.0000 0.0000 0.0000
0.0000 0.0000 0.5000
```

crystal system = tetragonal
density = 6.3 g cm⁻³
D(E_F) = 0.526 states/eV per atom
magnetic moment = 0.87 μB per cell
uncorrected energy = -24.0 eV per formula unit